[1]
VASP calculation (GGA-PBE) on a geometry-optimized Te3PbSe6 structure.

The space group is P2_1/m (11). As for the uncorrected formation energy: -0.043 eV/atom. As for the crystal system: monoclinic. Its magnetization is 0.0 μB per formula unit.

Geometry as POSCAR:
```
Te3PbSe6
1.0
4.464 0.000 0.000
0.000 11.336 -4.654
0.000 0.437 12.493
Te Pb Se
6 2 12
Cartesian
1.116 2.087 6.069
3.348 9.686 1.770
1.116 6.314 0.632
3.348 5.459 7.208
1.116 10.277 6.563
3.348 1.497 1.277
1.116 3.711 10.571
3.348 8.062 -2.732
1.116 4.557 5.317
3.348 7.217 2.523
1.116 10.217 -3.395
3.348 1.557 11.235
1.116 10.450 3.051
3.348 1.324 4.788
1.116 8.595 -0.512
3.348 3.178 8.351
1.116 6.312 8.777
3.348 5.461 -0.938
1.116 2.991 1.407
3.348 8.783 6.433
```



[2]
VASP calculation (GGA-PBE) on a geometry-optimized TePbSe2 structure.

The space group is Amm2 (38). As for the uncorrected formation energy: -0.180 eV/atom. As for the crystal system: orthorhombic. Its magnetization is 0.0 μB per formula unit. Its offset from the most stable computed form is 47 meV/atom.

Geometry as POSCAR:
```
TePbSe2
1.0
6.341 -0.392 -0.035
5.149 3.722 -0.035
0.025 0.007 4.394
Pb Se Te
1 2 1
Cartesian
2.958 0.857 0.531
0.113 0.033 0.549
8.414 2.439 2.695
5.788 1.678 2.712
```



[3]
VASP calculation (GGA-PBE) on a geometry-optimized Te2PbSe2 structure.

The space group is I4/mmm (139). As for the uncorrected formation energy: -0.065 eV/atom. As for the crystal system: tetragonal. Its magnetization is 0.0 μB per formula unit. Its offset from the most stable computed form is 0 meV/atom.

Geometry as POSCAR:
```
Te2PbSe2
1.0
-3.444 -1.382 2.023
-0.490 -3.032 -2.904
3.474 -8.100 4.795
Pb Te Se
1 2 2
Cartesian
0.000 0.000 0.000
-0.968 -5.845 3.189
0.509 -6.669 0.725
-1.274 -2.957 0.226
0.815 -9.557 3.688
```



[4]
VASP calculation (GGA-PBE) on a geometry-optimized Te3PbSe structure.

The space group is Pm-3m (221). As for the uncorrected formation energy: 0.869 eV/atom. As for the crystal system: cubic. Its magnetization is 1.8 μB per formula unit. Its offset from the most stable computed form is 639 meV/atom.

Geometry as POSCAR:
```
Te3PbSe
1.0
-0.165 -2.324 5.376
5.376 -2.193 -0.783
2.323 4.911 2.194
Pb Te Se
1 3 1
Cartesian
0.000 0.000 0.000
2.688 -1.097 -0.391
1.161 2.455 1.097
-0.083 -1.162 2.688
3.767 0.197 3.394
```



[5]
VASP calculation (GGA-PBE) on a geometry-optimized TePbSe2 structure.

The space group is P4/mmm (123). As for the uncorrected formation energy: 0.002 eV/atom. As for the crystal system: tetragonal. Its magnetization is 0.0 μB per formula unit. Its offset from the most stable computed form is 230 meV/atom.

Geometry as POSCAR:
```
TePbSe2
1.0
-2.238 2.652 -1.335
-1.984 0.738 4.792
3.682 3.597 0.970
Pb Se Te
1 2 1
Cartesian
0.722 3.124 -0.182
0.000 0.000 0.000
0.849 2.168 2.881
-2.111 1.695 1.728
```



[6]
VASP calculation (GGA-PBE) on a geometry-optimized Te2PbSe2 structure.

The space group is I4/mmm (139). As for the uncorrected formation energy: 0.132 eV/atom. As for the crystal system: tetragonal. Its magnetization is 0.0 μB per formula unit. Its offset from the most stable computed form is 197 meV/atom.

Geometry as POSCAR:
```
Te2PbSe2
1.0
-4.328 3.569 1.154
-1.574 -0.128 -5.505
-5.946 -2.217 -1.228
Pb Te Se
1 2 2
Cartesian
0.000 0.000 0.000
-4.082 0.233 -1.818
-7.765 0.991 -3.762
-6.612 1.536 -1.125
-5.235 -0.312 -4.455
```